1.
LaHo2Co (PBE, optimized geometry); total DFT energy (no corrections) = -5.453 eV/atom; formation energy = -0.156 eV per atom
1.0
6.9576 0.0000 0.0000
0.0000 9.5101 0.0000
0.0000 0.0000 6.4278
La Ho Co
4 8 4
direct
0.0581 0.2500 0.1347
0.4419 0.7500 0.6347
0.5581 0.2500 0.3653
0.9419 0.7500 0.8653
0.1672 0.0690 0.6731
0.1672 0.4310 0.6731
0.3328 0.5690 0.1731
0.3328 0.9310 0.1731
0.6672 0.0690 0.8269
0.6672 0.4310 0.8269
0.8328 0.5690 0.3269
0.8328 0.9310 0.3269
0.1243 0.7500 0.4467
0.3757 0.2500 0.9467
0.6243 0.7500 0.0533
0.8757 0.2500 0.5533

2.
ZrBeP4 (PBE, optimized geometry); total DFT energy (no corrections) = -5.321 eV/atom; formation energy = 0.331 eV per atom
1.0
0.0000 3.5359 3.5359
3.5359 0.0000 3.5359
3.5359 3.5359 0.0000
Zr Be P
1 1 4
direct
0.0000 0.0000 0.0000
0.7500 0.7500 0.7500
0.3758 0.3758 0.3758
0.3758 0.3758 0.8726
0.3758 0.8726 0.3758
0.8726 0.3758 0.3758

3.
OsPb (PBE, optimized geometry); total DFT energy (no corrections) = -6.554 eV/atom; formation energy = 0.915 eV per atom
1.0
5.1253 -1.5425 0.0000
5.1253 1.5425 0.0000
-2.6411 0.0000 5.1657
Os Pb
2 2
direct
0.1681 0.1681 0.3073
0.8319 0.8319 0.6927
0.4079 0.4079 0.1842
0.5921 0.5921 0.8158

4.
TlCuF3 (PBE, optimized geometry); total DFT energy (no corrections) = -4.055 eV/atom; formation energy without anion corrections = -1.639 eV/atom
1.0
7.3017 0.0000 0.0000
0.0000 5.4065 0.0000
-1.5724 0.0000 8.3946
Tl Cu F
4 4 12
direct
0.1323 0.2284 0.1747
0.1323 0.2716 0.6747
0.8677 0.7284 0.3253
0.8677 0.7716 0.8253
0.4240 0.7322 0.5655
0.4240 0.7678 0.0655
0.5760 0.2322 0.9345
0.5760 0.2678 0.4345
0.1747 0.6737 0.0733
0.1747 0.8263 0.5733
0.3331 0.0798 0.9547
0.3331 0.4202 0.4547
0.4648 0.5201 0.8274
0.4648 0.9799 0.3274
0.5352 0.0201 0.6726
0.5352 0.4799 0.1726
0.6669 0.5798 0.5453
0.6669 0.9202 0.0453
0.8253 0.1737 0.4267
0.8253 0.3263 0.9267

5.
SmYErAg (PBE, optimized geometry); total DFT energy (no corrections) = -4.785 eV/atom; formation energy = -0.136 eV per atom
1.0
3.5862 0.0000 0.0000
0.0000 3.5862 0.0000
0.0000 0.0000 8.8504
Sm Y Er Ag
1 1 1 1
direct
0.0000 0.0000 0.0000
0.5000 0.5000 0.7068
0.5000 0.5000 0.2873
0.0000 0.0000 0.4900

6.
AsP2Rh (PBE, optimized geometry); total DFT energy (no corrections) = -5.584 eV/atom; formation energy = 0.121 eV per atom
1.0
1.4852 0.8575 8.3049
-1.4852 0.8575 8.3049
0.0000 -1.7150 8.3049
As P Rh
1 2 1
direct
0.0000 0.0000 0.0000
0.2377 0.2377 0.2377
0.7623 0.7623 0.7623
0.5000 0.5000 0.5000

7.
Na2AcLa3Se6 (PBE, optimized geometry); total DFT energy (no corrections) = -5.344 eV/atom; formation energy without anion corrections = -1.808 eV/atom
1.0
3.7520 -6.4930 0.0000
3.7520 6.4930 0.0000
-2.4983 0.0000 7.1651
Na Ac La Se
2 1 3 6
direct
0.1665 0.8335 0.0000
0.8335 0.1665 0.0000
0.5000 0.5000 0.0000
0.0000 0.0000 0.5000
0.3323 0.6677 0.5000
0.6677 0.3323 0.5000
0.0785 0.4152 0.7458
0.2490 0.2490 0.2559
0.4152 0.0785 0.7458
0.5848 0.9215 0.2542
0.7510 0.7510 0.7441
0.9215 0.5848 0.2542

8.
ErNpMn4 (PBE, optimized geometry); total DFT energy (no corrections) = -8.858 eV/atom; formation energy = 0.172 eV per atom
1.0
0.0000 3.6054 3.6054
3.6054 0.0000 3.6054
3.6054 3.6054 0.0000
Er Np Mn
1 1 4
direct
0.0000 0.0000 0.0000
0.2500 0.2500 0.2500
0.1277 0.6241 0.6241
0.6241 0.1277 0.6241
0.6241 0.6241 0.1277
0.6241 0.6241 0.6241

9.
Ru2IBr (PBE, optimized geometry); total DFT energy (no corrections) = -4.561 eV/atom; formation energy without anion corrections = 0.882 eV/atom
1.0
-2.3922 2.3922 7.7040
2.3922 -2.3922 7.7040
2.3922 2.3922 -7.7040
Ru I Br
4 2 2
direct
0.0427 0.6250 0.9177
0.3750 0.2927 0.4177
0.7073 0.1250 0.0823
0.8750 0.9573 0.5823
0.2500 0.7500 0.5000
0.5000 0.5000 0.0000
0.0000 0.0000 0.0000
0.7500 0.2500 0.5000

10.
Tm12Mg5Ru3 (PBE, optimized geometry); total DFT energy (no corrections) = -3.991 eV/atom; formation energy = 0.482 eV per atom
1.0
-8.5801 8.5801 8.5801
8.5801 -8.5801 8.5801
8.5801 8.5801 -8.5801
Tm Mg Ru
48 20 12
direct
0.0523 0.6312 0.3916
0.0523 0.9211 0.6607
0.0789 0.2396 0.1312
0.0789 0.3393 0.9477
0.1084 0.7396 0.6607
0.1084 0.8688 0.4477
0.1312 0.0789 0.2396
0.1312 0.5523 0.8916
0.1607 0.2396 0.6084
0.1607 0.4211 0.5523
0.2396 0.1312 0.0789
0.2396 0.6084 0.1607
0.2604 0.3393 0.8916
0.2604 0.4211 0.3688
0.3393 0.8916 0.2604
0.3393 0.9477 0.0789
0.3688 0.2604 0.4211
0.3688 0.6084 0.9477
0.3916 0.0523 0.6312
0.3916 0.8393 0.7604
0.4211 0.3688 0.2604
0.4211 0.5523 0.1607
0.4477 0.1084 0.8688
0.4477 0.8393 0.5789
0.5523 0.1607 0.4211
0.5523 0.8916 0.1312
0.5789 0.4477 0.8393
0.5789 0.6312 0.7396
0.6084 0.1607 0.2396
0.6084 0.9477 0.3688
0.6312 0.3916 0.0523
0.6312 0.7396 0.5789
0.6607 0.0523 0.9211
0.6607 0.1084 0.7396
0.7396 0.5789 0.6312
0.7396 0.6607 0.1084
0.7604 0.3916 0.8393
0.7604 0.8688 0.9211
0.8393 0.5789 0.4477
0.8393 0.7604 0.3916
0.8688 0.4477 0.1084
0.8688 0.9211 0.7604
0.8916 0.1312 0.5523
0.8916 0.2604 0.3393
0.9211 0.6607 0.0523
0.9211 0.7604 0.8688
0.9477 0.0789 0.3393
0.9477 0.3688 0.6084
0.0000 0.0000 0.0000
0.0000 0.0000 0.5000
0.0000 0.5000 0.0000
0.0000 0.5000 0.5000
0.1250 0.7500 0.8750
0.1250 0.8750 0.2500
0.2500 0.1250 0.8750
0.2500 0.6250 0.3750
0.3750 0.2500 0.6250
0.3750 0.6250 0.7500
0.5000 0.0000 0.0000
0.5000 0.0000 0.5000
0.5000 0.5000 0.0000
0.5000 0.5000 0.5000
0.6250 0.3750 0.2500
0.6250 0.7500 0.3750
0.7500 0.3750 0.6250
0.7500 0.8750 0.1250
0.8750 0.1250 0.7500
0.8750 0.2500 0.1250
0.1250 0.2500 0.3750
0.1250 0.3750 0.7500
0.2500 0.3750 0.1250
0.2500 0.8750 0.6250
0.3750 0.1250 0.2500
0.3750 0.7500 0.1250
0.6250 0.2500 0.8750
0.6250 0.8750 0.7500
0.7500 0.1250 0.3750
0.7500 0.6250 0.8750
0.8750 0.6250 0.2500
0.8750 0.7500 0.6250

11.
Ce4In2N (PBE, optimized geometry); total DFT energy (no corrections) = -5.912 eV/atom; formation energy without anion corrections = -0.549 eV/atom
1.0
-2.4449 2.4449 8.0124
2.4449 -2.4449 8.0124
2.4449 2.4449 -8.0124
Ce In N
4 2 1
direct
0.0000 0.5000 0.5000
0.1576 0.1576 0.0000
0.5000 0.0000 0.5000
0.8424 0.8424 0.0000
0.3610 0.3610 0.0000
0.6390 0.6390 0.0000
0.0000 0.0000 0.0000

12.
KTi3Ag (PBE, optimized geometry); total DFT energy (no corrections) = -4.289 eV/atom; formation energy = 1.237 eV per atom
1.0
5.0881 0.0000 0.0000
0.0000 5.0881 0.0000
0.0000 0.0000 5.0881
K Ti Ag
1 3 1
direct
0.0000 0.0000 0.0000
0.0000 0.5000 0.5000
0.5000 0.0000 0.5000
0.5000 0.5000 0.0000
0.5000 0.5000 0.5000